# 1
! FePAu2 (PBE, optimized geometry); values from VASP
&SYSTEM
  ibrav = 0, nat = 8, ntyp = 3
/
ATOMIC_SPECIES
Fe 55.84 Fe.upf
P 30.97 P.upf
Au 196.97 Au.upf
CELL_PARAMETERS angstrom
-3.5901 3.5901 2.5454
3.5901 -3.5901 2.5454
3.5901 3.5901 -2.5454
ATOMIC_POSITIONS angstrom
Fe 0.0000 0.0000 0.0000
Fe 0.0000 3.5901 1.2727
P 3.5901 0.0000 1.2727
P 0.0000 0.0000 2.5454
Au 1.7951 -1.6130 1.9090
Au 1.9771 1.7951 0.6363
Au 1.7951 5.2032 -0.6363
Au 1.6130 1.7951 3.1817
! Final energy: -4.55 eV per atom
! M_tot: 0.169 μB/cell
! Crystal system: tetragonal
! DFT formation energy: 0.553 eV/atom

# 2
! CrCd2Ir2 (PBE, optimized geometry); values from VASP
&SYSTEM
  ibrav = 0, nat = 10, ntyp = 3
/
ATOMIC_SPECIES
Cr 52.00 Cr.upf
Cd 112.41 Cd.upf
Ir 192.22 Ir.upf
CELL_PARAMETERS angstrom
6.4374 0.0000 0.0000
0.0000 6.4374 0.0000
0.0000 0.0000 4.3637
ATOMIC_POSITIONS angstrom
Cr 0.0000 0.0000 0.0000
Cr 3.2187 3.2187 0.0000
Cd 1.1072 2.1114 2.1818
Cd 2.1114 5.3301 2.1818
Cd 4.3259 1.1072 2.1818
Cd 5.3301 4.3259 2.1818
Ir 0.8748 4.0935 0.0000
Ir 2.3439 0.8748 0.0000
Ir 4.0935 5.5626 0.0000
Ir 5.5626 2.3439 0.0000
! Final energy: -5.60 eV per atom
! M_tot: 5.110 μB/cell
! Crystal system: tetragonal
! DFT formation energy: 0.231 eV/atom

# 3
! CaTmF4 (PBE, optimized geometry); values from VASP
&SYSTEM
  ibrav = 0, nat = 12, ntyp = 3
/
ATOMIC_SPECIES
Ca 40.08 Ca.upf
Tm 168.93 Tm.upf
F 19.00 F.upf
CELL_PARAMETERS angstrom
-3.5958 3.5958 3.8054
3.5958 -3.5958 3.8054
3.5958 3.5958 -3.8054
ATOMIC_POSITIONS angstrom
Ca 0.0000 0.0000 0.0000
Ca 0.0000 3.5958 1.9027
Tm 3.5958 0.0000 2.0022
Tm 0.0000 0.0000 3.9049
F 3.5958 1.3555 0.0555
F 2.2403 3.5958 -1.8472
F 1.3555 0.0000 1.9582
F 0.0000 2.2835 0.0139
F 0.0000 4.9082 0.0139
F 2.2835 3.5958 1.9167
F 1.3123 0.0000 5.7221
F 0.0000 2.2403 3.8609
! Final energy: -5.89 eV per atom
! M_tot: 0.534 μB/cell
! Crystal system: tetragonal
! Formation energy without anion corrections: -3.5680 eV per atom

# 4
! PuPa3 (PBE, optimized geometry); values from VASP
&SYSTEM
  ibrav = 0, nat = 4, ntyp = 2
/
ATOMIC_SPECIES
Pu 244.00 Pu.upf
Pa 231.04 Pa.upf
CELL_PARAMETERS angstrom
-1.6051 5.4418 2.7316
1.6051 -5.4418 2.7316
1.6051 5.4418 -2.7316
ATOMIC_POSITIONS angstrom
Pu 0.0000 0.0000 0.0000
Pa 1.6051 2.6538 0.0171
Pa 1.6051 0.0000 2.7314
Pa 0.0000 2.7881 2.7487
! Final energy: -10.65 eV per atom
! M_tot: 4.637 μB/cell
! Crystal system: orthorhombic
! DFT formation energy: 0.055 eV/atom